No. 1
Material: Tb2CeY3As6
Method: DFT, PBE-GGA
State: relaxed

Summary:
- crystal system = monoclinic
- symmetry = C2/m, No. 12
- DFT total energy (eV/atom) = -6.74

Cell lengths 7.1762, 7.1762, 7.1762 Å; angles 99.60, 99.60, 119.99 degrees
Fractional positions:
Tb  0.1666  0.8334  0.0000
Tb  0.8334  0.1666  0.0000
Ce  0.5000  0.5000  0.0000
Y  0.0000  0.0000  0.5000
Y  0.3335  0.6665  0.5000
Y  0.6665  0.3335  0.5000
As  0.0827  0.4162  0.7486
As  0.2499  0.2499  0.2504
As  0.4162  0.0827  0.7486
As  0.5838  0.9173  0.2514
As  0.7501  0.7501  0.7496
As  0.9173  0.5838  0.2514

---

No. 2
Material: Tb2CeYAs4
Method: DFT, PBE-GGA
State: relaxed

Summary:
- crystal system = monoclinic
- symmetry = P2/m, No. 10
- DFT total energy (eV/atom) = -6.55

Cell lengths 7.1880, 4.1548, 7.1925 Å; angles 90.00, 109.41, 90.00 degrees
Fractional positions:
Tb  0.0000  0.0000  0.0000
Tb  0.5000  0.5000  0.0000
Ce  0.0000  0.5000  0.5000
Y  0.5000  0.0000  0.5000
As  0.2506  0.5000  0.2502
As  0.2518  0.0000  0.7515
As  0.7482  0.0000  0.2485
As  0.7494  0.5000  0.7498

---

No. 3
Material: Tb3Ce2YAs6
Method: DFT, PBE-GGA
State: relaxed

Summary:
- crystal system = monoclinic
- symmetry = C2/m, No. 12
- DFT total energy (eV/atom) = -6.52

Cell lengths 9.2992, 9.2992, 8.3240 Å; angles 102.90, 102.90, 25.88 degrees
Fractional positions:
Tb  0.0000  0.0000  0.0000
Tb  0.3336  0.3336  0.6656
Tb  0.6664  0.6664  0.3344
Ce  0.3343  0.3343  0.1684
Ce  0.6657  0.6657  0.8316
Y  0.0000  0.0000  0.5000
As  0.1662  0.1662  0.0849
As  0.1664  0.1664  0.5814
As  0.4994  0.4994  0.7494
As  0.5006  0.5006  0.2506
As  0.8336  0.8336  0.4186
As  0.8338  0.8338  0.9151

---

No. 4
Material: Tb3CeY2As6
Method: DFT, PBE-GGA
State: relaxed

Summary:
- crystal system = monoclinic
- symmetry = C2/m, No. 12
- DFT total energy (eV/atom) = -6.59

Cell lengths 9.2631, 9.2631, 8.2945 Å; angles 102.96, 102.96, 25.89 degrees
Fractional positions:
Tb  0.0000  0.0000  0.0000
Tb  0.3327  0.3327  0.6684
Tb  0.6673  0.6673  0.3316
Ce  0.0000  0.0000  0.5000
Y  0.3321  0.3321  0.1644
Y  0.6679  0.6679  0.8356
As  0.1667  0.1667  0.0829
As  0.1668  0.1668  0.5835
As  0.4997  0.4997  0.2486
As  0.5003  0.5003  0.7514
As  0.8332  0.8332  0.4165
As  0.8333  0.8333  0.9171

---

No. 5
Material: TbCe2Y3As6
Method: DFT, PBE-GGA
State: relaxed

Summary:
- crystal system = monoclinic
- symmetry = C2/m, No. 12
- DFT total energy (eV/atom) = -6.83

Cell lengths 7.2033, 7.2033, 7.1936 Å; angles 99.61, 99.61, 119.99 degrees
Fractional positions:
Tb  0.0000  0.0000  0.0000
Ce  0.3334  0.6666  0.0000
Ce  0.6666  0.3334  0.0000
Y  0.1669  0.8331  0.5000
Y  0.5000  0.5000  0.5000
Y  0.8331  0.1669  0.5000
As  0.0839  0.4164  0.2518
As  0.2481  0.2481  0.7471
As  0.4164  0.0839  0.2518
As  0.5836  0.9161  0.7482
As  0.7519  0.7519  0.2529
As  0.9161  0.5836  0.7482

---

No. 6
Material: Tb2Ce3YAs6
Method: DFT, PBE-GGA
State: relaxed

Summary:
- crystal system = monoclinic
- symmetry = C2/m, No. 12
- DFT total energy (eV/atom) = -6.61

Cell lengths 7.2356, 7.2356, 7.2237 Å; angles 99.61, 99.61, 120.00 degrees
Fractional positions:
Tb  0.1666  0.8334  0.0000
Tb  0.8334  0.1666  0.0000
Ce  0.0000  0.0000  0.5000
Ce  0.3332  0.6668  0.5000
Ce  0.6668  0.3332  0.5000
Y  0.5000  0.5000  0.0000
As  0.0847  0.4178  0.7533
As  0.2493  0.2493  0.2470
As  0.4178  0.0847  0.7533
As  0.5822  0.9153  0.2467
As  0.7507  0.7507  0.7530
As  0.9153  0.5822  0.2467

---

No. 7
Material: TbCe2YAs4
Method: DFT, PBE-GGA
State: relaxed

Summary:
- crystal system = monoclinic
- symmetry = P2/m, No. 10
- DFT total energy (eV/atom) = -6.69

Cell lengths 7.2198, 4.1760, 7.2345 Å; angles 90.00, 109.50, 90.00 degrees
Fractional positions:
Tb  0.0000  0.0000  0.0000
Ce  0.5000  0.0000  0.5000
Ce  0.5000  0.5000  0.0000
Y  0.0000  0.5000  0.5000
As  0.2467  0.0000  0.7486
As  0.2468  0.5000  0.2492
As  0.7533  0.0000  0.2514
As  0.7532  0.5000  0.7508

---

No. 8
Material: TbCe3Zr2As6
Method: DFT, PBE-GGA
State: relaxed

Summary:
- crystal system = monoclinic
- symmetry = C2/m, No. 12
- DFT total energy (eV/atom) = -6.97

Cell lengths 7.0535, 7.0535, 7.0667 Å; angles 99.59, 99.59, 120.00 degrees
Fractional positions:
Tb  0.0000  0.0000  0.0000
Ce  0.1638  0.8362  0.5000
Ce  0.5000  0.5000  0.5000
Ce  0.8362  0.1638  0.5000
Zr  0.3324  0.6676  0.0000
Zr  0.6676  0.3324  0.0000
As  0.0791  0.4205  0.2366
As  0.2641  0.2641  0.7670
As  0.4205  0.0791  0.2366
As  0.5795  0.9209  0.7634
As  0.7359  0.7359  0.2330
As  0.9209  0.5795  0.7634

---

No. 9
Material: TbCe2ZrAs4
Method: DFT, PBE-GGA
State: relaxed

Summary:
- crystal system = monoclinic
- symmetry = P2/m, No. 10
- DFT total energy (eV/atom) = -6.84

Cell lengths 7.1034, 4.0981, 7.1038 Å; angles 90.00, 109.37, 90.00 degrees
Fractional positions:
Tb  0.0000  0.0000  0.0000
Ce  0.0000  0.5000  0.5000
Ce  0.5000  0.0000  0.5000
Zr  0.5000  0.5000  0.0000
As  0.2549  0.5000  0.2401
As  0.2624  0.0000  0.7648
As  0.7376  0.0000  0.2352
As  0.7451  0.5000  0.7599

---

No. 10
Material: Ce2TcAs4
Method: DFT, PBE-GGA
State: relaxed

Summary:
- crystal system = tetragonal
- symmetry = P-4m2, No. 115
- DFT total energy (eV/atom) = -6.54

Cell lengths 4.1177, 4.1177, 9.4128 Å; angles 90.00, 90.00, 90.00 degrees
Fractional positions:
Ce  0.0000  0.5000  0.2457
Ce  0.5000  0.0000  0.7543
Tc  0.0000  0.0000  0.5000
As  0.0000  0.0000  0.0000
As  0.0000  0.5000  0.6365
As  0.5000  0.0000  0.3635
As  0.5000  0.5000  0.0000

---

No. 11
Material: CeTcAs2
Method: DFT, PBE-GGA
State: relaxed

Summary:
- crystal system = orthorhombic
- symmetry = Fmmm, No. 69
- energy relative to the lowest polymorph listed for this composition (eV/f.u.) = 0.00
- DFT total energy (eV/atom) = -7.16

Cell lengths 10.0173, 10.0162, 4.1358 Å; angles 78.10, 78.07, 23.83 degrees
Fractional positions:
Ce  0.1137  0.1137  0.8863
Ce  0.8863  0.8863  0.1137
Tc  0.2500  0.2500  0.2500
Tc  0.7500  0.7500  0.7500
As  0.0000  0.0000  0.5000
As  0.3237  0.3237  0.6763
As  0.5000  0.5000  0.0000
As  0.6763  0.6763  0.3237

---

No. 12
Material: CeTcAs2
Method: DFT, PBE-GGA
State: relaxed

Summary:
- crystal system = trigonal
- symmetry = R-3m, No. 166
- energy relative to the lowest polymorph listed for this composition (eV/f.u.) = 3.71
- DFT total energy (eV/atom) = -6.24

Cell lengths 10.1625, 10.1625, 10.1625 Å; angles 16.88, 16.88, 16.88 degrees
Fractional positions:
Ce  0.0000  0.0000  0.0000
Tc  0.5000  0.5000  0.5000
As  0.4184  0.4184  0.4184
As  0.5816  0.5816  0.5816

---

The records above give, respectively, density of states at the Fermi level values of 5.56 6.26 11.56 5.93 11.65 16.46 10.91 15.90 11.28 11.43 5.27 6.13 states/eV/f.u..
The records above give, respectively, magnetic moment values of 0.5 0.5 1.2 0.5 1.2 1.9 1.3 1.5 1.2 1.3 0.5 0.0 μB per formula unit.